# K2YUO6 (PBE-GGA, relaxed)
data_K2YUO6
_space_group_name_H-M_alt 'P 1'
_space_group_IT_number 1
_cell_length_a 6.145
_cell_length_b 6.146
_cell_length_c 6.144
_cell_angle_alpha 60.00
_cell_angle_beta 60.00
_cell_angle_gamma 90.00
loop_
_space_group_symop_operation_xyz
'x,y,z'
loop_
_atom_site_label
_atom_site_fract_x
_atom_site_fract_y
_atom_site_fract_z
_atom_site_occupancy
O1 0.261 0.261 0.478 1
O2 0.739 0.739 0.000 1
O3 0.739 0.261 0.000 1
O4 0.261 0.261 0.000 1
O5 0.739 0.739 0.522 1
O6 0.261 0.739 0.000 1
Y1 0.000 0.000 0.000 1
K1 0.250 0.750 0.500 1
K2 0.750 0.250 0.500 1
U1 0.500 0.500 0.000 1
# V ... 164.1 Å³/cell
# Size of the total moment ... 1.01 μB per formula unit
# Formation energy (no corrections) ... -2.6796 eV per atom